KNdCoO4: relaxed, GGA+U.

abc: 5.9084 5.8172 7.4725
angles: 90.00 105.27 90.00
Last column: nearest neighbours and their distance in Å.
Atoms (fractional coordinates):
O 0.9543 0.0128 0.6883  1 Co 1.82
O 0.0457 0.9872 0.3117  1 Co 1.82
O 0.9543 0.4872 0.6883  1 Co 1.82
K 0.2999 0.2500 0.0784  4 O 2.74-3.00
O 0.5630 0.2500 0.4406  1 Co 1.79
Co 0.2507 0.7500 0.3279  4 O 1.78-1.82
K 0.7001 0.7500 0.9216  4 O 2.74-3.00
Co 0.7493 0.2500 0.6721  4 O 1.78-1.82
Nd 0.7874 0.7500 0.4465  6 O 2.37-2.46
O 0.4370 0.7500 0.5594  1 Co 1.79
O 0.5504 0.2500 0.8146  1 Co 1.78
O 0.4496 0.7500 0.1854  1 Co 1.78
O 0.0457 0.5128 0.3117  1 Co 1.82
Nd 0.2126 0.2500 0.5535  6 O 2.37-2.46

Raw total energy = -6.2649 eV per atom